Entry 1:
DFT (SCAN) results for a crystal of NaCaBe2B2O6F relaxed with PBEsol.

a = 4.640 Å, b = 8.029 Å, c = 14.135 Å
α = 90.00°, β = 90.27°, γ = 90.00°
Space group Cc (No. 9)
One atom of each set of equivalent atoms:
1 Na 0.000 0.004 0.000 [4 per cell]
2 Ca 0.489 0.490 0.751 [4 per cell]
3 Be 0.467 0.161 0.388 [4 per cell]
4 Be 0.493 0.180 0.614 [4 per cell]
5 B 0.009 0.346 0.640 [4 per cell]
6 B 0.476 0.180 0.861 [4 per cell]
7 O 0.134 0.498 0.132 [4 per cell]
8 O 0.188 0.215 0.666 [4 per cell]
9 O 0.217 0.170 0.128 [4 per cell]
10 O 0.263 0.299 0.339 [4 per cell]
11 O 0.307 0.319 0.875 [4 per cell]
12 O 0.354 0.024 0.865 [4 per cell]
13 F 0.397 0.191 0.501 [4 per cell]

Formation energy without anion corrections   -2.973 eV per atom
DOS at the Fermi energy   0.00 states/eV/atom
Total moment   0.000 Bohr magnetons per cell

***

Entry 2:
DFT (SCAN) results for a crystal of CaBeB2O5 relaxed with PBEsol.

a = 5.185 Å, b = 3.743 Å, c = 17.203 Å
α = 90.00°, β = 99.66°, γ = 90.00°
Space group P2_1/c (No. 14)
One atom of each set of equivalent atoms:
1 Ca 0.227 0.115 0.425 [4 per cell]
2 Be 0.106 0.237 0.211 [4 per cell]
3 B 0.296 0.531 0.595 [4 per cell]
4 B 0.403 0.747 0.787 [4 per cell]
5 O 0.073 0.072 0.123 [4 per cell]
6 O 0.160 0.548 0.783 [4 per cell]
7 O 0.292 0.747 0.532 [4 per cell]
8 O 0.372 0.017 0.723 [4 per cell]
9 O 0.458 0.593 0.367 [4 per cell]

Formation energy without anion corrections   -2.986 eV per atom
DOS at the Fermi energy   0.00 states/eV/atom
Total moment   0.016 Bohr magnetons per cell

***

Entry 3:
DFT (SCAN) results for a crystal of K2BeCoB relaxed with PBEsol.

a = 5.839 Å, b = 5.839 Å, c = 4.029 Å
α = 90.00°, β = 90.00°, γ = 90.00°
Space group P4/mmm (No. 123)
One atom of each set of equivalent atoms:
1 K 0.000 0.500 0.000 [2 per cell]
2 Be 0.000 0.000 0.500 [1 per cell]
3 Co 0.000 0.000 0.000 [1 per cell]
4 B 0.500 0.500 0.500 [1 per cell]

Energy of formation   1566.4 meV/atom
DOS at the Fermi energy   0.76 states/eV/atom
Total moment   3.013 Bohr magnetons per cell

***

Entry 4:
DFT (SCAN) results for a crystal of Ta2BeCoB relaxed with PBEsol.

a = 4.308 Å, b = 4.308 Å, c = 3.409 Å
α = 90.00°, β = 90.00°, γ = 90.00°
Space group P4/mmm (No. 123)
One atom of each set of equivalent atoms:
1 Ta 0.000 0.500 0.000 [2 per cell]
2 Be 0.000 0.000 0.500 [1 per cell]
3 Co 0.500 0.500 0.500 [1 per cell]
4 B 0.000 0.000 0.000 [1 per cell]

Energy of formation   -1.6 meV/atom
DOS at the Fermi energy   0.24 states/eV/atom
Total moment   1.961 Bohr magnetons per cell

***

Entry 5:
DFT (SCAN) results for a crystal of BeCoB2W relaxed with PBEsol.

a = 3.646 Å, b = 3.646 Å, c = 3.711 Å
α = 90.00°, β = 90.00°, γ = 90.00°
Space group P4/mmm (No. 123)
One atom of each set of equivalent atoms:
1 Be 0.000 0.000 0.000 [1 per cell]
2 Co 0.000 0.000 0.500 [1 per cell]
3 B 0.000 0.500 0.500 [2 per cell]
4 W 0.500 0.500 0.000 [1 per cell]

Energy of formation   925.6 meV/atom
DOS at the Fermi energy   0.70 states/eV/atom
Total moment   0.000 Bohr magnetons per cell

***

Entry 6:
DFT (SCAN) results for a crystal of BeCr2B relaxed with PBEsol.

a = 5.714 Å, b = 5.714 Å, c = 4.564 Å
α = 90.00°, β = 90.00°, γ = 90.00°
Space group I-42d (No. 122)
One atom of each set of equivalent atoms:
1 Be 0.000 0.000 0.000 [4 per cell]
2 Cr 0.228 0.250 0.625 [8 per cell]
3 B 0.000 0.000 0.500 [4 per cell]

Energy of formation   250.1 meV/atom
DOS at the Fermi energy   0.57 states/eV/atom
Total moment   0.000 Bohr magnetons per cell

***

Entry 7:
DFT (SCAN) results for a crystal of BeCrB relaxed with PBEsol.

a = 7.660 Å, b = 2.961 Å, c = 5.208 Å
α = 90.00°, β = 126.37°, γ = 90.00°
Space group C2/m (No. 12)
One atom of each set of equivalent atoms:
1 Be 0.180 0.000 0.086 [4 per cell]
2 Cr 0.076 0.500 0.333 [4 per cell]
3 B 0.135 0.000 0.666 [4 per cell]

Energy of formation   -350.1 meV/atom
DOS at the Fermi energy   0.42 states/eV/atom
Total moment   3.585 Bohr magnetons per cell

***

Entry 8:
DFT (SCAN) results for a crystal of CsBeB3 relaxed with PBEsol.

a = 4.165 Å, b = 4.165 Å, c = 4.165 Å
α = 90.00°, β = 90.00°, γ = 90.00°
Space group Pm-3m (No. 221)
One atom of each set of equivalent atoms:
1 Cs 0.000 0.000 0.000 [1 per cell]
2 Be 0.500 0.500 0.500 [1 per cell]
3 B 0.000 0.500 0.500 [3 per cell]

Energy of formation   2079.7 meV/atom
DOS at the Fermi energy   0.69 states/eV/atom
Total moment   0.282 Bohr magnetons per cell

***

Entry 9:
DFT (SCAN) results for a crystal of CsBe2BO3F2 relaxed with PBEsol.

a = 4.4624 Å, b = 4.4624 Å, c = 21.1886 Å
α = 90.00°, β = 90.00°, γ = 120.00°
Space group R32 (No. 155, hexagonal axes)
One atom of each set of equivalent atoms:
1 Cs 0.0000 0.0000 0.0000 [3 per cell]
2 Be 0.0000 0.0000 0.1930 [6 per cell]
3 B 0.0000 0.0000 0.5000 [3 per cell]
4 O 0.0000 0.6912 0.5000 [9 per cell]
5 F 0.0000 0.0000 0.2657 [6 per cell]

Formation energy without anion corrections   -3.058 eV per atom
DOS at the Fermi energy   0.00 states/eV/atom
Total moment   0.008 Bohr magnetons per cell

***

Entry 10:
DFT (SCAN) results for a crystal of BeCuB2 relaxed with PBEsol.

a = 5.933 Å, b = 5.933 Å, c = 3.908 Å
α = 90.00°, β = 90.00°, γ = 90.00°
Space group I-42d (No. 122)
One atom of each set of equivalent atoms:
1 Be 0.000 0.000 0.000 [4 per cell]
2 Cu 0.000 0.000 0.500 [4 per cell]
3 B 0.249 0.750 0.125 [8 per cell]

Energy of formation   1057.9 meV/atom
DOS at the Fermi energy   0.24 states/eV/atom
Total moment   0.000 Bohr magnetons per cell

***

Entry 11:
DFT (SCAN) results for a crystal of BeCuB3 relaxed with PBEsol.

a = 3.551 Å, b = 3.551 Å, c = 3.551 Å
α = 90.00°, β = 90.00°, γ = 90.00°
Space group Pm-3m (No. 221)
One atom of each set of equivalent atoms:
1 Be 0.000 0.000 0.000 [1 per cell]
2 Cu 0.500 0.500 0.500 [1 per cell]
3 B 0.000 0.000 0.500 [3 per cell]

Energy of formation   1627.8 meV/atom
DOS at the Fermi energy   0.36 states/eV/atom
Total moment   0.000 Bohr magnetons per cell

***

Entry 12:
DFT (SCAN) results for a crystal of NaBeCu2B relaxed with PBEsol.

a = 4.040 Å, b = 4.040 Å, c = 3.736 Å
α = 90.00°, β = 90.00°, γ = 90.00°
Space group P4/mmm (No. 123)
One atom of each set of equivalent atoms:
1 Na 0.000 0.000 0.000 [1 per cell]
2 Be 0.500 0.500 0.000 [1 per cell]
3 Cu 0.000 0.500 0.500 [2 per cell]
4 B 0.500 0.500 0.500 [1 per cell]

Energy of formation   195.0 meV/atom
DOS at the Fermi energy   0.23 states/eV/atom
Total moment   0.000 Bohr magnetons per cell

***

Q: Which of these has the highest DOS at the Fermi energy?
A: K2BeCoB

***

Q: total moment of number 11 (BeCuB3)?
A: 0.000 Bohr magnetons per cell

***

Please write out number 9 again, unchanged.
DFT (SCAN) results for a crystal of CsBe2BO3F2 relaxed with PBEsol.

a = 4.4624 Å, b = 4.4624 Å, c = 21.1886 Å
α = 90.00°, β = 90.00°, γ = 120.00°
Space group R32 (No. 155, hexagonal axes)
One atom of each set of equivalent atoms:
1 Cs 0.0000 0.0000 0.0000 [3 per cell]
2 Be 0.0000 0.0000 0.1930 [6 per cell]
3 B 0.0000 0.0000 0.5000 [3 per cell]
4 O 0.0000 0.6912 0.5000 [9 per cell]
5 F 0.0000 0.0000 0.2657 [6 per cell]

Formation energy without anion corrections   -3.058 eV per atom
DOS at the Fermi energy   0.00 states/eV/atom
Total moment   0.008 Bohr magnetons per cell